Entry 1:
The following is a PBE-GGA calculation of crystalline PmAgPd6 at its relaxed geometry, from the Alexandria database.

Formation energy, meV/atom: -374
Calculated volume, Å³ per cell: 137.8

a = 4.1048 Å, b = 4.1048 Å, c = 8.1757 Å
α = 90.00°, β = 90.00°, γ = 90.00°
Space group P4/mmm (No. 123)
Symmetry-distinct sites (fractional):
Pm1 0.0000 0.0000 0.0000 [1 per cell]
Ag1 0.0000 0.0000 0.5000 [1 per cell]
Pd1 0.0000 0.5000 0.2600 [4 per cell]
Pd2 0.5000 0.5000 0.0000 [1 per cell]
Pd3 0.5000 0.5000 0.5000 [1 per cell]


Entry 2:
The following is a PBE-GGA calculation of crystalline Li7Ca3Tl2 at its relaxed geometry, from the Alexandria database.

Formation energy, meV/atom: -99
Calculated volume, Å³ per cell: 314.5

a = 4.7700 Å, b = 4.0990 Å, c = 16.2610 Å
α = 90.00°, β = 98.40°, γ = 90.00°
Space group P2/m (No. 10)
Symmetry-distinct sites (fractional):
Li1 0.0000 0.0000 0.0000 [1 per cell]
Li2 0.0786 0.5000 0.1619 [2 per cell]
Li3 0.2743 0.5000 0.5482 [2 per cell]
Li4 0.4235 0.0000 0.8400 [2 per cell]
Ca1 0.1702 0.0000 0.3464 [2 per cell]
Ca2 0.5000 0.5000 0.0000 [1 per cell]
Tl1 0.3643 0.5000 0.7220 [2 per cell]


Entry 3:
The following is a PBE-GGA calculation of crystalline MgCuP2O at its relaxed geometry, from the Alexandria database.

Calculated volume, Å³ per cell: 81.2
Formation energy without anion corrections, meV/atom: 224

a = 4.8084 Å, b = 4.8084 Å, c = 3.5120 Å
α = 90.00°, β = 90.00°, γ = 90.00°
Space group P4/mmm (No. 123)
Symmetry-distinct sites (fractional):
Mg1 0.0000 0.0000 0.0000 [1 per cell]
Cu1 0.5000 0.5000 0.5000 [1 per cell]
P1 0.0000 0.5000 0.5000 [2 per cell]
O1 0.5000 0.5000 0.0000 [1 per cell]


Entry 4:
The following is a PBE-GGA calculation of crystalline Tb3Nd8Th at its relaxed geometry, from the Alexandria database.

Formation energy, meV/atom: 584
Calculated volume, Å³ per cell: 913.4

a = 8.8564 Å, b = 8.8564 Å, c = 11.6451 Å
α = 90.00°, β = 90.00°, γ = 90.00°
Space group I-42m (No. 121)
Symmetry-distinct sites (fractional):
Tb1 0.0000 0.0000 0.0000 [2 per cell]
Tb2 0.0000 0.5000 0.2500 [4 per cell]
Nd1 0.1229 0.1229 0.7503 [8 per cell]
Nd2 0.2453 0.2453 0.0094 [8 per cell]
Th1 0.0000 0.0000 0.5000 [2 per cell]


Entry 5:
The following is a PBE-GGA calculation of crystalline YHoTmZr at its relaxed geometry, from the Alexandria database.

Formation energy, meV/atom: 86
Calculated volume, Å³ per cell: 228.0

a = 4.8543 Å, b = 4.8543 Å, c = 9.6753 Å
α = 90.00°, β = 90.00°, γ = 90.00°
Space group I-4m2 (No. 119)
Symmetry-distinct sites (fractional):
Y1 0.0000 0.0000 0.0000 [2 per cell]
Ho1 0.0000 0.5000 0.7500 [2 per cell]
Tm1 0.0000 0.0000 0.5000 [2 per cell]
Zr1 0.0000 0.5000 0.2500 [2 per cell]


Entry 6:
The following is a PBE-GGA calculation of crystalline LuUTcRu at its relaxed geometry, from the Alexandria database.

Formation energy, meV/atom: -189
Calculated volume, Å³ per cell: 304.6

a = 6.7287 Å, b = 6.7287 Å, c = 6.7287 Å
α = 90.00°, β = 90.00°, γ = 90.00°
Space group F-43m (No. 216)
Symmetry-distinct sites (fractional):
Lu1 0.0000 0.0000 0.0000 [4 per cell]
U1 0.0000 0.0000 0.5000 [4 per cell]
Tc1 0.2500 0.2500 0.2500 [4 per cell]
Ru1 0.2500 0.2500 0.7500 [4 per cell]


Entry 7:
The following is a PBE-GGA calculation of crystalline ZrPd2Au2 at its relaxed geometry, from the Alexandria database.

Formation energy, meV/atom: -478
Calculated volume, Å³ per cell: 359.5

a = 4.7728 Å, b = 5.7780 Å, c = 13.0372 Å
α = 90.00°, β = 90.00°, γ = 90.00°
Space group Imma (No. 74)
Symmetry-distinct sites (fractional):
Zr1 0.0000 0.2500 0.1333 [4 per cell]
Pd1 0.0000 0.0044 0.6879 [8 per cell]
Au1 0.0000 0.2500 0.4956 [4 per cell]
Au2 0.0000 0.2500 0.8824 [4 per cell]


Entry 8:
The following is a PBE-GGA calculation of crystalline TlHgSb2 at its relaxed geometry, from the Alexandria database.

Calculated volume, Å³ per cell: 443.4
Formation energy without anion corrections, meV/atom: 222

a = 7.6252 Å, b = 7.6252 Å, c = 7.6252 Å
α = 90.00°, β = 90.00°, γ = 90.00°
Space group Fm-3m (No. 225)
Symmetry-distinct sites (fractional):
Tl1 0.0000 0.0000 0.0000 [4 per cell]
Hg1 0.0000 0.0000 0.5000 [4 per cell]
Sb1 0.2500 0.2500 0.2500 [8 per cell]


Entry 9:
The following is a PBE-GGA calculation of crystalline Y3PuAs4 at its relaxed geometry, from the Alexandria database.

Formation energy, meV/atom: -1414
Calculated volume, Å³ per cell: 397.4

a = 8.2459 Å, b = 11.6590 Å, c = 4.1336 Å
α = 90.00°, β = 90.00°, γ = 90.00°
Space group Cmmm (No. 65)
Symmetry-distinct sites (fractional):
Y1 0.0000 0.0000 0.0000 [2 per cell]
Y2 0.2500 0.2500 0.5000 [4 per cell]
Pu1 0.0000 0.5000 0.0000 [2 per cell]
As1 0.0000 0.2508 0.0000 [4 per cell]
As2 0.2483 0.5000 0.5000 [4 per cell]


Entry 10:
The following is a PBE-GGA calculation of crystalline MgAlCd at its relaxed geometry, from the Alexandria database.

Formation energy, meV/atom: 99
Calculated volume, Å³ per cell: 251.4

a = 3.3946 Å, b = 5.2314 Å, c = 14.1554 Å
α = 90.00°, β = 90.00°, γ = 90.00°
Space group Fmm2 (No. 42)
Symmetry-distinct sites (fractional):
Mg1 0.0000 0.0000 0.0000 [4 per cell]
Al1 0.0000 0.0000 0.3379 [4 per cell]
Cd1 0.0000 0.0000 0.6734 [4 per cell]


Entry 11:
The following is a PBE-GGA calculation of crystalline CeNiRu2 at its relaxed geometry, from the Alexandria database.

Formation energy, meV/atom: -140
Calculated volume, Å³ per cell: 63.7

a = 4.0565 Å, b = 4.0565 Å, c = 3.8718 Å
α = 90.00°, β = 90.00°, γ = 90.00°
Space group P4/mmm (No. 123)
Symmetry-distinct sites (fractional):
Ce1 0.0000 0.0000 0.0000 [1 per cell]
Ni1 0.5000 0.5000 0.0000 [1 per cell]
Ru1 0.0000 0.5000 0.5000 [2 per cell]


Entry 12:
The following is a PBE-GGA calculation of crystalline AcTb12Ho6 at its relaxed geometry, from the Alexandria database.

Formation energy, meV/atom: 158
Calculated volume, Å³ per cell: 1883.4

a = 11.9602 Å, b = 11.9602 Å, c = 15.2032 Å
α = 90.00°, β = 90.00°, γ = 120.00°
Space group R-3 (No. 148, hexagonal axes)
Symmetry-distinct sites (fractional):
Ac1 0.0000 0.0000 0.0000 [3 per cell]
Tb1 0.0189 0.8351 0.1931 [18 per cell]
Tb2 0.0382 0.8491 0.4168 [18 per cell]
Ho1 0.0053 0.4201 0.6789 [18 per cell]


Number 1: DFT total energy -5.219 eV per atom. Number 2: DFT total energy -2.110 eV per atom. Number 3: DFT total energy -4.069 eV per atom. Number 4: DFT total energy -4.371 eV per atom. Number 5: DFT total energy -5.929 eV per atom. Number 6: DFT total energy -9.052 eV per atom. Number 7: DFT total energy -5.576 eV per atom. Number 8: DFT total energy -2.507 eV per atom. Number 9: DFT total energy -7.954 eV per atom. Number 10: DFT total energy -1.985 eV per atom. Number 11: DFT total energy -7.707 eV per atom. Number 12: DFT total energy -4.428 eV per atom.